(1)
Computed, not measured: a geometry-optimized LuAlPtAu structure at the PBE level of DFT.

Energy relative to the elements   -892 meV/atom
Total DFT energy (no corrections)   -5.287 eV per atom

extended XYZ file:
```
4
Lattice="4.6982 0.0000 0.0000 2.3491 4.0688 0.0000 2.3491 1.3563 3.8361" Properties=species:S:1:pos:R:3 pbc="T T T"
Lu 7.0474 4.0688 2.8771
Au 4.6982 2.7125 1.9180
Al 2.3491 1.3563 0.9590
Pt 0.0000 0.0000 0.0000
```


(2)
Computed, not measured: a geometry-optimized K2Al2Sb structure at the PBE level of DFT.

E_form (uncorrected)   0.38 eV/atom
Energy above the lowest structure with this stoichiometry   343.8 meV per atom
Total DFT energy (no corrections)   -2.379 eV per atom

extended XYZ file:
```
5
Lattice="-1.6144 -0.2744 -4.2166 2.5665 -3.6495 -0.7452 -5.1839 -6.4443 -0.0222" Properties=species:S:1:pos:R:3 pbc="T T T"
Sb 0.0000 0.0000 0.0000
K -3.1611 -4.3403 -3.3598
K -1.0707 -6.0279 -1.6241
Al -0.4537 -2.6983 -2.0770
Al -3.7781 -7.6699 -2.9069
```


(3)
Computed, not measured: a geometry-optimized Pr2PtBr structure at the PBE level of DFT.

E_form (uncorrected)   -1.05 eV/atom
Energy above the lowest structure with this stoichiometry   189.0 meV per atom
Total DFT energy (no corrections)   -5.370 eV per atom

extended XYZ file:
```
4
Lattice="3.5691 0.0000 0.0000 0.0000 3.5691 0.0000 0.0000 0.0000 8.3434" Properties=species:S:1:pos:R:3 pbc="T T T"
Pr 0.0000 0.0000 6.5485
Pr 0.0000 0.0000 1.7949
Br 1.7845 1.7845 4.1717
Pt 1.7845 1.7845 0.0000
```


(4)
Computed, not measured: a geometry-optimized Cs3Pr2PuSe6 structure at the PBE level of DFT.

E_form (uncorrected)   -1.62 eV/atom
Total DFT energy (no corrections)   -5.562 eV per atom

extended XYZ file:
```
12
Lattice="7.6540 -0.0017 0.0006 -3.8266 6.6288 0.0006 -1.2758 -2.2090 8.3772" Properties=species:S:1:pos:R:3 pbc="T T T"
Cs -2.5319 4.4081 4.1892
Cs 5.0835 0.0099 4.1892
Cs 1.2758 2.2090 4.1892
Pr 0.0021 4.4176 0.0006
Pr 3.8253 2.2095 0.0006
Pu 0.0000 0.0000 0.0000
Se 3.8060 2.2455 6.7952
Se 2.5733 4.4556 1.5900
Se -1.2544 2.1726 1.5832
Se 0.0429 4.4188 6.7952
Se -0.0217 -0.0375 6.7883
Se 2.5087 -0.0007 1.5832
```


(5)
Computed, not measured: a geometry-optimized ScNiHg2 structure at the PBE level of DFT.

Energy relative to the elements   -195 meV/atom
Total DFT energy (no corrections)   -3.374 eV per atom

extended XYZ file:
```
4
Lattice="-0.6456 -3.1691 -0.6762 3.1349 -0.4362 -0.9484 1.7606 -1.7745 6.6357" Properties=species:S:1:pos:R:3 pbc="T T T"
Hg 1.7329 -1.7466 6.5313
Hg 1.7561 -2.3181 1.1151
Ni 0.9172 -0.9245 3.4572
Sc 2.4846 -3.0524 3.8610
```


(6)
Computed, not measured: a geometry-optimized YAu2Cl structure at the PBE level of DFT.

E_form (uncorrected)   -0.66 eV/atom
Total DFT energy (no corrections)   -4.372 eV per atom

extended XYZ file:
```
4
Lattice="3.6176 -0.0026 0.0000 0.0030 3.6176 0.0000 0.0000 0.0000 6.8044" Properties=species:S:1:pos:R:3 pbc="T T T"
Au 0.0000 0.0000 6.7614
Au 0.0000 0.0000 3.4452
Cl 1.8103 1.8075 1.7011
Y 1.8103 1.8075 5.1033
```


(7)
Computed, not measured: a geometry-optimized EuScH structure at the PBE level of DFT.

Energy above the lowest structure with this stoichiometry   38.8 meV per atom
Total DFT energy (no corrections)   -6.769 eV per atom

extended XYZ file:
```
3
Lattice="3.4794 0.0000 0.0000 -1.7397 3.0133 0.0000 0.0000 0.0000 5.7239" Properties=species:S:1:pos:R:3 pbc="T T T"
Eu 0.0000 0.0000 5.2888
Sc 1.7397 1.0044 2.5073
H 0.0000 2.0089 3.6517
```


(8)
Computed, not measured: a geometry-optimized Pr4Tm2Sc structure at the PBE level of DFT.

Energy relative to the elements   79 meV/atom
Energy above the lowest structure with this stoichiometry   0.0 meV per atom
Total DFT energy (no corrections)   -4.835 eV per atom

extended XYZ file:
```
14
Lattice="11.9979 -3.0830 -1.5458 -9.4018 8.0660 -1.5458 0.0269 0.0517 6.7615" Properties=species:S:1:pos:R:3 pbc="T T T"
Pr 6.9027 -0.7891 4.4262
Pr -4.6156 5.1789 1.0455
Pr -5.2232 5.9109 4.5493
Pr 7.8238 -0.9192 1.1686
Pr -0.9165 1.1244 3.7719
Pr 1.1116 3.1151 -0.8012
Pr 1.9294 2.7219 2.5795
Pr 1.4332 -0.1326 0.3911
Tm 4.6096 0.5889 1.6243
Tm 10.0695 -1.9886 -1.2742
Tm -7.3864 7.1386 2.1065
Tm -2.1453 4.1410 5.0051
Sc -1.2498 4.1294 1.6999
Sc 4.0869 1.3162 -1.6808
```


It is found that the ρ values, taken in the order of the records, are 13.5; 2.7; 8.7; 5.5; 10.8; 9.7; 5.5; 6.8 g/cm³.
It is found that the total magnetic moment values, taken in the order of the records, are 0.0000; 0.0000; 0.0001; 0.4167; 0.0000; 0.0000; 2.6740; 0.0000 μB per atom.